Compound: Ca3ScU2As6
Source: Alexandria
Functional: PBE
Structure: optimized geometry

Structure (extended XYZ):
```
12
Lattice="-2.5018 2.3136 6.2625 6.1347 -3.6226 -0.2678 2.2059 6.2797 -2.7912" Properties=species:S:1:pos:R:3 pbc="T T T"
Ca 5.7979 0.5068 -0.5748
Ca 0.0409 4.4639 3.7783
Ca 2.9194 2.4853 1.6018
Sc 0.0000 0.0000 0.0000
U 3.2556 -1.6437 1.9092
U 0.3773 0.3347 4.0855
As 3.0305 4.8468 3.4721
As 3.2071 0.4562 3.8268
As 2.8083 0.1239 -0.2686
As 5.8935 2.8789 1.3073
As 2.6317 4.5145 -0.6233
As -0.0547 2.0918 1.8962
```

Properties
Energy relative to the elements in eV per atom: -1.066
Density in Mg/m³: 6.037
Magnetic moment in μB per formula unit: 3.0
VASP energy in eV/atom: -6.300

***

Compound: Ca3ZrSc2As6
Source: Alexandria
Functional: PBE
Structure: optimized geometry

Structure (extended XYZ):
```
12
Lattice="-6.7585 1.4358 -0.0310 2.7033 -3.9841 -4.9557 0.1539 -4.6864 5.4533" Properties=species:S:1:pos:R:3 pbc="T T T"
Ca 1.2021 -5.4233 -1.4077
Ca -5.1035 -1.8113 1.8743
Ca -1.9507 -3.6173 0.2333
Zr 0.0000 0.0000 0.0000
Sc -0.4515 -2.1770 -3.3137
Sc -3.6037 -0.3713 -1.6730
As -4.5320 -4.6737 1.2651
As -2.9760 -2.9381 -2.4840
As 0.6307 -2.5609 -0.7985
As -1.3886 -6.4744 -0.3710
As -0.9254 -4.2965 2.9507
As -2.5128 -0.7603 0.8377
```

Properties
Energy relative to the elements in eV per atom: -1.155
Density in Mg/m³: 4.423
Magnetic moment in μB per formula unit: 0.0
VASP energy in eV/atom: -5.748

***

Compound: Ca2ZrScAs4
Source: Alexandria
Functional: PBE
Structure: optimized geometry

Structure (extended XYZ):
```
8
Lattice="3.9764 0.0000 0.0000 0.0000 6.9023 0.1229 0.0000 -2.4125 6.7919" Properties=species:S:1:pos:R:3 pbc="T T T"
Ca 1.9882 -1.2063 3.3959
Ca 0.0000 2.2449 3.4574
Zr 0.0000 0.0000 0.0000
Sc 1.9882 3.4512 0.0615
As 1.9882 1.1187 1.5582
As 1.9882 3.3711 5.3565
As 0.0000 -0.0952 5.3013
As 0.0000 4.5850 1.6135
```

Properties
Energy relative to the elements in eV per atom: -1.167
Density in Mg/m³: 4.568
Magnetic moment in μB per formula unit: 0.0
VASP energy in eV/atom: -5.852

***

Compound: Ca3Zr2ScAs6
Source: Alexandria
Functional: PBE
Structure: optimized geometry

Structure (extended XYZ):
```
12
Lattice="6.8875 -0.0025 -0.0011 -3.4443 5.9644 -0.0011 -1.1497 -1.9907 6.8383" Properties=species:S:1:pos:R:3 pbc="T T T"
Ca -2.2965 3.9742 3.4180
Ca 4.5900 -0.0030 3.4180
Ca 1.1468 1.9856 3.4180
Zr -0.0010 3.9758 -0.0011
Zr 3.4442 1.9861 -0.0011
Sc 0.0000 0.0000 0.0000
As 3.4455 1.9771 5.2953
As 2.2911 3.9670 1.5427
As -1.1520 1.9941 1.5408
As -0.0094 3.9725 5.2953
As 0.0024 0.0042 5.2934
As 2.3029 -0.0012 1.5408
```

Properties
Energy relative to the elements in eV per atom: -1.178
Density in Mg/m³: 4.714
Magnetic moment in μB per formula unit: 0.0
VASP energy in eV/atom: -5.955

***

Compound: Ca2AsSe
Source: Alexandria
Functional: PBE
Structure: optimized geometry

Structure (extended XYZ):
```
4
Lattice="-1.2974 0.9333 4.9128 0.3394 4.7941 1.8952 -4.2947 2.6622 1.0764" Properties=species:S:1:pos:R:3 pbc="T T T"
As 0.0000 0.0000 0.0000
Ca -1.3132 2.0974 1.9711
Ca -3.9396 6.2922 5.9134
Se -2.6264 4.1948 3.9422
```

Properties
Distance to the lowest polymorph of the same formula in meV/atom: 230
Density in Mg/m³: 3.986
Magnetic moment in μB per formula unit: 0.0
VASP energy in eV/atom: -4.212

***

Compound: Ca2AsSe
Source: Alexandria
Functional: PBE
Structure: optimized geometry

Structure (extended XYZ):
```
4
Lattice="7.9918 1.0059 0.0128 5.6123 5.7777 -0.0128 -6.7719 -3.4522 2.6653" Properties=species:S:1:pos:R:3 pbc="T T T"
As 3.5014 3.1978 1.3263
Ca 13.0418 6.5032 0.0000
Ca 3.2802 0.1084 1.3390
Se 7.4121 3.6960 0.0000
```

Properties
Distance to the lowest polymorph of the same formula in meV/atom: 104
Density in Mg/m³: 3.598
Magnetic moment in μB per formula unit: 0.0
VASP energy in eV/atom: -4.339

***

Compound: Ca2AsSe
Source: Alexandria
Functional: PBE
Structure: optimized geometry

Structure (extended XYZ):
```
4
Lattice="-1.1031 2.6153 2.9113 2.2975 -2.2966 2.9337 4.8628 3.3611 -1.1770" Properties=species:S:1:pos:R:3 pbc="T T T"
As 4.8518 3.1001 1.8927
Ca 4.2549 2.9410 -1.0298
Ca 2.4209 1.4199 2.4811
Se 1.8238 1.2606 -0.4414
```

Properties
Distance to the lowest polymorph of the same formula in meV/atom: 37
Density in Mg/m³: 3.623
Magnetic moment in μB per formula unit: 0.0
VASP energy in eV/atom: -4.405

***

Compound: Ca2AsSe
Source: Alexandria
Functional: PBE
Structure: optimized geometry

Structure (extended XYZ):
```
4
Lattice="-1.3812 -1.1240 -3.6661 -2.9277 -2.8213 -0.2829 -6.6067 3.9969 -1.0147" Properties=species:S:1:pos:R:3 pbc="T T T"
As -8.1867 0.0387 -3.7228
Ca -4.3747 -3.8805 -3.9466
Ca -5.3920 -0.0389 -2.4843
Se -2.7289 0.0129 -1.2409
```

Properties
Distance to the lowest polymorph of the same formula in meV/atom: 0
Density in Mg/m³: 3.634
Magnetic moment in μB per formula unit: 0.0
VASP energy in eV/atom: -4.442

***

Compound: Ca3AsSe4
Source: Alexandria
Functional: PBE
Structure: optimized geometry

Structure (extended XYZ):
```
16
Lattice="5.8345 0.0000 0.0000 0.0000 8.6241 0.0000 0.0000 0.0000 10.5451" Properties=species:S:1:pos:R:3 pbc="T T T"
Ca 3.2985 6.9687 0.0000
Ca 0.4004 5.7750 2.7446
Ca 3.3177 2.8490 2.5279
Ca 0.3812 1.6554 5.2725
Ca 3.3177 2.8490 8.0172
Ca 0.4004 5.7750 7.8005
As 0.0894 0.9398 0.0000
As 3.0067 7.6842 5.2725
Se 0.3605 7.0926 0.0000
Se 3.4979 1.2636 0.0000
Se 0.3968 2.9094 2.7238
Se 3.3141 5.7146 2.5487
Se 0.5806 7.3604 5.2725
Se 3.2777 1.5315 5.2725
Se 3.3141 5.7146 7.9964
Se 0.3968 2.9094 7.8213
```

Properties
Density in Mg/m³: 3.198
Magnetic moment in μB per formula unit: 1.0
VASP energy in eV/atom: -4.375

***

Compound: Ca2AsSe
Source: Alexandria
Functional: PBE
Structure: optimized geometry

Structure (extended XYZ):
```
4
Lattice="3.5733 0.0764 0.0000 -0.0849 3.5731 0.0000 0.0000 0.0000 7.5775" Properties=species:S:1:pos:R:3 pbc="T T T"
As 1.7442 1.8248 5.6831
Ca 0.0000 0.0000 0.0791
Ca 0.0000 0.0000 3.7096
Se 1.7442 1.8248 1.8944
```

Properties
Distance to the lowest polymorph of the same formula in meV/atom: 136
Density in Mg/m³: 4.015
Magnetic moment in μB per formula unit: 0.0
VASP energy in eV/atom: -4.307

***

Compound: Ca2As2Se
Source: Alexandria
Functional: PBE
Structure: optimized geometry

Structure (extended XYZ):
```
10
Lattice="-1.5596 -7.0903 2.7971 6.9402 -2.5013 -2.4709 1.7659 1.1207 3.8255" Properties=species:S:1:pos:R:3 pbc="T T T"
As 4.9293 -1.7175 0.7123
As 6.1331 -5.9775 1.4046
As 2.2172 -6.7534 3.4395
As 1.0134 -2.4933 2.7471
Ca 5.1745 -4.2889 -1.1321
Ca 3.4680 -7.5001 0.5964
Ca 0.2062 -5.3027 1.4584
Ca 1.9126 -2.0915 -0.2701
Se 0.0000 0.0000 0.0000
Se 2.6903 -4.7958 0.1631
```

Properties
Distance to the lowest polymorph of the same formula in meV/atom: 151
Density in Mg/m³: 3.888
Magnetic moment in μB per formula unit: 0.0
VASP energy in eV/atom: -4.334

***

Compound: Ca8As5Se
Source: Alexandria
Functional: PBE
Structure: optimized geometry

Structure (extended XYZ):
```
14
Lattice="-7.0285 1.4491 2.9597 -0.4737 -0.3765 -7.7391 2.6196 -6.7626 2.7686" Properties=species:S:1:pos:R:3 pbc="T T T"
Ca -1.2064 -0.2062 -5.4069
Ca -5.0397 -3.5996 4.0943
Ca -4.4740 -1.4815 1.3514
Ca -2.3276 -5.1731 1.2914
Ca -3.0924 -1.1645 -2.6042
Ca -2.5334 -5.3328 -2.6096
Ca -0.9858 -2.2413 -0.0995
Ca 0.1286 -3.5609 -4.0603
As 0.1159 -1.0060 -2.5585
As -5.8826 -0.7591 -3.5174
As -3.9226 -3.3872 -0.8503
As -2.2045 -2.6568 2.8641
As -0.0761 -6.2276 2.9045
Se -0.0293 -4.8979 -1.0532
```

Properties
Density in Mg/m³: 3.570
Magnetic moment in μB per formula unit: 0.0
VASP energy in eV/atom: -4.328

***

Compound: Ca2AsSe
Source: Alexandria
Functional: PBE
Structure: optimized geometry

Structure (extended XYZ):
```
4
Lattice="-2.4503 4.0991 -3.8741 -5.0521 3.2594 -1.2910 1.4943 3.5415 2.6564" Properties=species:S:1:pos:R:3 pbc="T T T"
As -4.2842 8.5798 -1.5264
Ca 1.2945 3.1182 2.3175
Ca -1.3073 3.1549 -0.2913
Se -3.2207 5.0386 -1.6063
```

Properties
Distance to the lowest polymorph of the same formula in meV/atom: 137
Density in Mg/m³: 3.778
Magnetic moment in μB per formula unit: 0.0
VASP energy in eV/atom: -4.305

***

Compound: Ca2As2Se
Source: Alexandria
Functional: PBE
Structure: optimized geometry

Structure (extended XYZ):
```
5
Lattice="5.7108 0.0000 0.0000 0.0000 5.7108 0.0000 2.8554 2.8554 4.0470" Properties=species:S:1:pos:R:3 pbc="T T T"
As 2.8554 2.8554 1.2675
As 5.7108 5.7108 2.7795
Ca 5.7108 2.8554 2.0235
Ca 2.8554 5.7108 2.0235
Se 0.0000 0.0000 0.0000
```

Properties
Distance to the lowest polymorph of the same formula in meV/atom: 331
Density in Mg/m³: 3.887
Magnetic moment in μB per formula unit: 0.0
VASP energy in eV/atom: -4.154

***

Compound: Ca4AsSe3
Source: Alexandria
Functional: PBE
Structure: optimized geometry

Structure (extended XYZ):
```
8
Lattice="5.9753 0.0000 0.0000 0.0000 5.9753 0.0000 0.0000 0.0000 5.9753" Properties=species:S:1:pos:R:3 pbc="T T T"
Ca 2.9876 0.0000 0.0000
Ca 0.0000 2.9876 0.0000
Ca 0.0000 0.0000 2.9876
Ca 2.9876 2.9876 2.9876
As 0.0000 0.0000 0.0000
Se 0.0000 2.9876 2.9876
Se 2.9876 0.0000 2.9876
Se 2.9876 2.9876 0.0000
```

Properties
Density in Mg/m³: 3.675
Magnetic moment in μB per formula unit: 0.0
VASP energy in eV/atom: -4.574

***

Compound: Ca4As2Se
Source: Alexandria
Functional: PBE
Structure: optimized geometry

Structure (extended XYZ):
```
7
Lattice="5.2516 0.0000 0.0000 0.0000 5.2516 0.0000 2.6258 2.6258 7.7933" Properties=species:S:1:pos:R:3 pbc="T T T"
As 5.2516 5.2516 5.7773
As 2.6258 2.6258 2.0160
Ca 5.2516 5.2516 2.9317
Ca 2.6258 2.6258 4.8615
Ca 0.0000 2.6258 0.0000
Ca 2.6258 0.0000 0.0000
Se 0.0000 0.0000 0.0000
```

Properties
Distance to the lowest polymorph of the same formula in meV/atom: 232
Density in Mg/m³: 3.006
Magnetic moment in μB per formula unit: 0.0
VASP energy in eV/atom: -4.064

***

Compound: Ca2AsSe
Source: Alexandria
Functional: PBE
Structure: optimized geometry

Structure (extended XYZ):
```
8
Lattice="7.7638 0.0000 0.0000 0.0000 7.7638 0.0000 3.8819 3.8819 3.6296" Properties=species:S:1:pos:R:3 pbc="T T T"
As 3.8819 3.8819 0.0000
As 3.8819 7.7638 1.8148
Ca 5.8381 1.9409 0.9074
Ca 1.9256 5.8228 0.9074
Ca 5.8228 5.8075 2.7222
Ca 9.7047 9.7200 2.7222
Se 0.0000 0.0000 0.0000
Se 7.7638 3.8819 1.8148
```

Properties
Distance to the lowest polymorph of the same formula in meV/atom: 249
Density in Mg/m³: 3.553
Magnetic moment in μB per formula unit: 0.0
VASP energy in eV/atom: -4.193

***

Compound: CaAs3Se
Source: Alexandria
Functional: PBE
Structure: optimized geometry

Structure (extended XYZ):
```
5
Lattice="-1.6939 -5.0612 -0.4576 4.6097 -1.7334 2.1073 -2.1391 0.2726 4.9035" Properties=species:S:1:pos:R:3 pbc="T T T"
As 2.3048 -0.8667 1.0536
As -1.0695 0.1363 2.4517
As -0.8470 -2.5306 -0.2288
Ca 0.0000 0.0000 0.0000
Se 0.3883 -3.2610 3.2766
```

Properties
Distance to the lowest polymorph of the same formula in meV/atom: 809
Density in Mg/m³: 3.714
Magnetic moment in μB per formula unit: 0.0
VASP energy in eV/atom: -2.901

***

Compound: Ca4AsSe2
Source: Alexandria
Functional: PBE
Structure: optimized geometry

Structure (extended XYZ):
```
14
Lattice="0.2583 0.8355 -7.9674 6.6799 3.0479 3.2147 -0.5659 -7.7796 1.8444" Properties=species:S:1:pos:R:3 pbc="T T T"
Ca 0.8678 -1.4130 -5.4480
Ca 4.4895 -1.0599 -3.3393
Ca 3.2742 -0.7571 0.6941
Ca 4.1130 -4.5624 2.2765
Ca 0.3186 -2.4585 -1.5437
Ca 1.1575 -6.2638 0.0387
Ca 0.2004 -5.1254 -3.8953
Ca 3.8221 -4.7723 -1.7867
As 4.9976 0.7587 -1.1116
As 0.0000 0.0000 0.0000
Se 2.6279 0.7971 -4.5395
Se 5.5558 -1.9865 1.9737
Se 2.2158 -3.5104 0.3664
Se 2.3449 -3.0927 -3.6173
```

Properties
Density in Mg/m³: 3.294
Magnetic moment in μB per formula unit: 0.8
VASP energy in eV/atom: -4.265

***

Compound: Ca2As2Se
Source: Alexandria
Functional: PBE
Structure: optimized geometry

Structure (extended XYZ):
```
5
Lattice="-3.0489 0.3470 2.3314 2.3179 -0.2507 3.0685 0.5306 8.0678 2.6783" Properties=species:S:1:pos:R:3 pbc="T T T"
As -1.4419 4.2315 3.8548
As 1.2415 3.9326 4.2234
Ca -0.1787 1.7194 2.6955
Ca -0.0216 6.4447 5.3828
Se 0.0000 0.0000 0.0000
```

Properties
Distance to the lowest polymorph of the same formula in meV/atom: 0
Density in Mg/m³: 4.281
Magnetic moment in μB per formula unit: 0.0
VASP energy in eV/atom: -4.485